<A>
## Sc2CdAs (PBE)

Data for a geometry-optimized Sc2CdAs structure.

The space group is I-42d (No. 122) and the conventional cell measures 7.526, 7.526 and 6.519 Å, with angles of 90.00, 90.00 and 90.00 degrees. The inequivalent atoms are Sc at (0.221, 0.250, 0.125), Cd at (0.000, 0.000, 0.500) and As at (0.000, 0.000, 0.000).

The calculation puts the total moment at 0.00 μB per formula unit. For the density of states at the Fermi level, the calculation gives 3.4 states/eV/f.u. Its crystal system is tetragonal. As for the mass density: 5.0 g cm⁻³.


<B>
## Sc2CdAs (PBE)

Data for a geometry-optimized Sc2CdAs structure.

The space group is R-3m (No. 166, hexagonal axes) and the conventional cell measures 3.7217, 3.7217 and 22.9356 Å, with angles of 90.00, 90.00 and 120.00 degrees. The inequivalent atoms are Sc at (0.0000, 0.0000, 0.2352), Cd at (0.0000, 0.0000, 0.0000) and As at (0.0000, 0.0000, 0.5000).

The calculation puts the total moment at 0.00 μB per formula unit. For the density of states at the Fermi level, the calculation gives 2.3 states/eV/f.u. Its crystal system is trigonal. As for the mass density: 5.0 g cm⁻³.


Which structure is the least stable? The one labeled <A>.


<A>
## Sc2CdAs (PBE)

Data for a geometry-optimized Sc2CdAs structure.

The space group is P2/m (No. 10) and the conventional cell measures 3.575, 3.566 and 6.427 Å, with angles of 90.00, 90.44 and 90.00 degrees. The inequivalent atoms are Sc at (0.004, 0.000, 0.273), Cd at (0.500, 0.500, 0.000) and As at (0.500, 0.500, 0.500).

The calculation puts the total moment at 0.82 μB per formula unit. For the density of states at the Fermi level, the calculation gives 2.6 states/eV/f.u. Its crystal system is monoclinic. As for the mass density: 5.6 g cm⁻³.


<B>
## Sc2CdAs (PBE)

Data for a geometry-optimized Sc2CdAs structure.

The space group is Cmmm (No. 65) and the conventional cell measures 6.613, 6.624 and 3.735 Å, with angles of 90.00, 90.00 and 90.00 degrees. The inequivalent atoms are Sc at (0.250, 0.250, 0.000), Cd at (0.000, 0.000, 0.500) and As at (0.000, 0.500, 0.500).

The calculation puts the total moment at 0.00 μB per formula unit. For the density of states at the Fermi level, the calculation gives 3.6 states/eV/f.u. Its crystal system is orthorhombic. As for the mass density: 5.6 g cm⁻³.


Which structure is the least stable? The one labeled <B>.


<A>
## Sc2Cd2As (PBE)

Data for a geometry-optimized Sc2Cd2As structure.

The space group is P4/mbm (No. 127) and the conventional cell measures 7.041, 7.041 and 4.760 Å, with angles of 90.00, 90.00 and 90.00 degrees. The inequivalent atoms are Sc at (0.164, 0.336, 0.000), Cd at (0.144, 0.644, 0.500) and As at (0.000, 0.000, 0.000).

The calculation puts the total moment at 0.00 μB per formula unit. For the density of states at the Fermi level, the calculation gives 4.7 states/eV/f.u. Its crystal system is tetragonal. As for the mass density: 5.5 g cm⁻³.


<B>
## Sc2Cd2As (PBE)

Data for a geometry-optimized Sc2Cd2As structure.

The space group is P4/mbm (No. 127) and the conventional cell measures 7.197, 7.197 and 4.340 Å, with angles of 90.00, 90.00 and 90.00 degrees. The inequivalent atoms are Sc at (0.164, 0.336, 0.000), Cd at (0.135, 0.635, 0.500) and As at (0.000, 0.000, 0.500).

The calculation puts the total moment at 0.00 μB per formula unit. For the density of states at the Fermi level, the calculation gives 4.9 states/eV/f.u. Its crystal system is tetragonal. As for the mass density: 5.8 g cm⁻³.


Which structure is the least stable? The one labeled <B>.


<A>
## ScCdAs3 (PBE)

Data for a geometry-optimized ScCdAs3 structure.

The space group is Pm-3m (No. 221) and the conventional cell measures 5.101, 5.101 and 5.101 Å, with angles of 90.00, 90.00 and 90.00 degrees. The inequivalent atoms are Sc at (0.000, 0.000, 0.000), Cd at (0.500, 0.500, 0.500) and As at (0.000, 0.000, 0.500).

The calculation puts the total moment at 0.00 μB per formula unit. For the density of states at the Fermi level, the calculation gives 2.9 states/eV/f.u. Its crystal system is cubic. As for the mass density: 4.8 g cm⁻³.


<B>
## ScCdAs3 (PBE)

Data for a geometry-optimized ScCdAs3 structure.

The space group is Pm-3m (No. 221) and the conventional cell measures 5.078, 5.078 and 5.078 Å, with angles of 90.00, 90.00 and 90.00 degrees. The inequivalent atoms are Sc at (0.000, 0.000, 0.000), Cd at (0.500, 0.500, 0.500) and As at (0.000, 0.500, 0.500).

The calculation puts the total moment at 0.00 μB per formula unit. For the density of states at the Fermi level, the calculation gives 5.0 states/eV/f.u. Its crystal system is cubic. As for the mass density: 4.8 g cm⁻³.


Which structure is the least stable? The one labeled <B>.


<A>
## Sc3CdAs (PBE)

Data for a geometry-optimized Sc3CdAs structure.

The space group is Pm-3m (No. 221) and the conventional cell measures 5.035, 5.035 and 5.035 Å, with angles of 90.00, 90.00 and 90.00 degrees. The inequivalent atoms are Sc at (0.000, 0.000, 0.500), Cd at (0.500, 0.500, 0.500) and As at (0.000, 0.000, 0.000).

The calculation puts the total moment at 0.00 μB per formula unit. For the density of states at the Fermi level, the calculation gives 5.1 states/eV/f.u. Its crystal system is cubic. As for the mass density: 4.2 g cm⁻³.


<B>
## Sc3CdAs (PBE)

Data for a geometry-optimized Sc3CdAs structure.

The space group is Pm-3m (No. 221) and the conventional cell measures 5.193, 5.193 and 5.193 Å, with angles of 90.00, 90.00 and 90.00 degrees. The inequivalent atoms are Sc at (0.000, 0.000, 0.500), Cd at (0.000, 0.000, 0.000) and As at (0.500, 0.500, 0.500).

The calculation puts the total moment at 0.00 μB per formula unit. For the density of states at the Fermi level, the calculation gives 1.2 states/eV/f.u. Its crystal system is cubic. As for the mass density: 3.8 g cm⁻³.


Which structure is the least stable? The one labeled <B>.


<A>
## ScCdAs2Se (PBE)

Data for a geometry-optimized ScCdAs2Se structure.

The space group is P4/mmm (No. 123) and the conventional cell measures 5.173, 5.173 and 5.061 Å, with angles of 90.00, 90.00 and 90.00 degrees. The inequivalent atoms are Sc at (0.000, 0.000, 0.000), Cd at (0.500, 0.500, 0.500), As at (0.000, 0.500, 0.000) and Se at (0.000, 0.000, 0.500).

The calculation puts the total moment at 0.00 μB per formula unit. For the density of states at the Fermi level, the calculation gives 4.1 states/eV/f.u. Its crystal system is tetragonal. As for the mass density: 4.7 g cm⁻³.


<B>
## ScCdAs2Se (PBE)

Data for a geometry-optimized ScCdAs2Se structure.

The space group is P4/mmm (No. 123) and the conventional cell measures 5.051, 5.051 and 5.202 Å, with angles of 90.00, 90.00 and 90.00 degrees. The inequivalent atoms are Sc at (0.000, 0.000, 0.000), Cd at (0.500, 0.500, 0.500), As at (0.000, 0.500, 0.500) and Se at (0.500, 0.500, 0.000).

The calculation puts the total moment at 0.00 μB per formula unit. For the density of states at the Fermi level, the calculation gives 4.1 states/eV/f.u. Its crystal system is tetragonal. As for the mass density: 4.8 g cm⁻³.


Which structure is the least stable? The one labeled <B>.


<A>
## ScCdAsSe2 (PBE)

Data for a geometry-optimized ScCdAsSe2 structure.

The space group is P4/mmm (No. 123) and the conventional cell measures 5.118, 5.118 and 5.230 Å, with angles of 90.00, 90.00 and 90.00 degrees. The inequivalent atoms are Sc at (0.000, 0.000, 0.000), Cd at (0.500, 0.500, 0.500), As at (0.000, 0.000, 0.500) and Se at (0.000, 0.500, 0.000).

The calculation puts the total moment at 0.00 μB per formula unit. For the density of states at the Fermi level, the calculation gives 6.4 states/eV/f.u. Its crystal system is tetragonal. As for the mass density: 4.7 g cm⁻³.


<B>
## ScCdAsSe2 (PBE)

Data for a geometry-optimized ScCdAsSe2 structure.

The space group is P4/mmm (No. 123) and the conventional cell measures 5.167, 5.167 and 5.045 Å, with angles of 90.00, 90.00 and 90.00 degrees. The inequivalent atoms are Sc at (0.000, 0.000, 0.000), Cd at (0.500, 0.500, 0.500), As at (0.500, 0.500, 0.000) and Se at (0.000, 0.500, 0.500).

The calculation puts the total moment at 0.00 μB per formula unit. For the density of states at the Fermi level, the calculation gives 5.0 states/eV/f.u. Its crystal system is tetragonal. As for the mass density: 4.8 g cm⁻³.


Which structure is the least stable? The one labeled <B>.


<A>
## CdAs2Se2 (PBE)

Data for a geometry-optimized CdAs2Se2 structure.

The space group is P4/mbm (No. 127) and the conventional cell measures 8.322, 8.322 and 3.639 Å, with angles of 90.00, 90.00 and 90.00 degrees. The inequivalent atoms are Cd at (0.000, 0.000, 0.000), As at (0.214, 0.286, 0.000) and Se at (0.144, 0.644, 0.500).

The calculation puts the total moment at 0.00 μB per formula unit. For the density of states at the Fermi level, the calculation gives 1.8 states/eV/f.u. Its crystal system is tetragonal. As for the mass density: 5.5 g cm⁻³.


<B>
## CdAs2Se2 (PBE)

Data for a geometry-optimized CdAs2Se2 structure.

The space group is I4/mmm (No. 139) and the conventional cell measures 3.756, 3.756 and 15.964 Å, with angles of 90.00, 90.00 and 90.00 degrees. The inequivalent atoms are Cd at (0.000, 0.000, 0.000), As at (0.000, 0.500, 0.250) and Se at (0.000, 0.000, 0.402).

The calculation puts the total moment at 0.00 μB per formula unit. For the density of states at the Fermi level, the calculation gives 3.2 states/eV/f.u. Its crystal system is tetragonal. As for the mass density: 6.2 g cm⁻³.


Which structure is the least stable? The one labeled <B>.


<A>
## CdAs3Se (PBE)

Data for a geometry-optimized CdAs3Se structure.

The space group is Pm-3m (No. 221) and the conventional cell measures 5.053, 5.053 and 5.053 Å, with angles of 90.00, 90.00 and 90.00 degrees. The inequivalent atoms are Cd at (0.000, 0.000, 0.000), As at (0.000, 0.500, 0.500) and Se at (0.500, 0.500, 0.500).

The calculation puts the total moment at 0.00 μB per formula unit. For the density of states at the Fermi level, the calculation gives 5.9 states/eV/f.u. Its crystal system is cubic. As for the mass density: 5.4 g cm⁻³.


<B>
## CdAs3Se (PBE)

Data for a geometry-optimized CdAs3Se structure.

The space group is Pm-3m (No. 221) and the conventional cell measures 5.126, 5.126 and 5.126 Å, with angles of 90.00, 90.00 and 90.00 degrees. The inequivalent atoms are Cd at (0.000, 0.000, 0.000), As at (0.000, 0.000, 0.500) and Se at (0.500, 0.500, 0.500).

The calculation puts the total moment at 0.00 μB per formula unit. For the density of states at the Fermi level, the calculation gives 6.5 states/eV/f.u. Its crystal system is cubic. As for the mass density: 5.1 g cm⁻³.


Which structure is the least stable? The one labeled <B>.


<A>
## CdAsSe2 (PBE)

Data for a geometry-optimized CdAsSe2 structure.

The space group is Cmmm (No. 65) and the conventional cell measures 3.547, 5.203 and 10.029 Å, with angles of 90.00, 90.00 and 90.00 degrees. The inequivalent atoms are Cd at (0.000, 0.000, 0.000), As at (0.000, 0.000, 0.500) and Se at (0.000, 0.500, 0.297).

The calculation puts the total moment at 0.00 μB per formula unit. For the density of states at the Fermi level, the calculation gives 2.2 states/eV/f.u. Its crystal system is orthorhombic. As for the mass density: 6.2 g cm⁻³.


<B>
## CdAsSe2 (PBE)

Data for a geometry-optimized CdAsSe2 structure.

The space group is I-4m2 (No. 119) and the conventional cell measures 3.775, 3.775 and 16.617 Å, with angles of 90.00, 90.00 and 90.00 degrees. The inequivalent atoms are Cd at (0.000, 0.000, 0.000), As at (0.000, 0.500, 0.250), Se at (0.000, 0.000, 0.500) and Se at (0.000, 0.500, 0.750).

The calculation puts the total moment at 0.00 μB per formula unit. For the density of states at the Fermi level, the calculation gives 2.9 states/eV/f.u. Its crystal system is tetragonal. As for the mass density: 4.8 g cm⁻³.


<C>
## CdAsSe2 (PBE)

Data for a geometry-optimized CdAsSe2 structure.

The space group is Pmm2 (No. 25) and the conventional cell measures 4.125, 5.826 and 3.923 Å, with angles of 90.00, 90.00 and 90.00 degrees. The inequivalent atoms are Cd at (0.000, 0.000, 0.000), As at (0.500, 0.500, 0.492), Se at (0.000, 0.500, 0.104) and Se at (0.500, 0.000, 0.517).

The calculation puts the total moment at 0.00 μB per formula unit. For the density of states at the Fermi level, the calculation gives 2.2 states/eV/f.u. Its crystal system is orthorhombic. As for the mass density: 6.1 g cm⁻³.


<D>
## CdAsSe2 (PBE)

Data for a geometry-optimized CdAsSe2 structure.

The space group is Amm2 (No. 38) and the conventional cell measures 4.078, 3.907 and 11.773 Å, with angles of 90.00, 90.00 and 90.00 degrees. The inequivalent atoms are Cd at (0.000, 0.000, 0.000), As at (0.500, 0.000, 0.743), Se at (0.000, 0.000, 0.264) and Se at (0.500, 0.000, 0.535).

The calculation puts the total moment at 0.00 μB per formula unit. For the density of states at the Fermi level, the calculation gives 0.8 states/eV/f.u. Its crystal system is orthorhombic. As for the mass density: 6.1 g cm⁻³.


Which structure is the least stable? The one labeled <A>.


<A>
## Cd3AsSe (PBE)

Data for a geometry-optimized Cd3AsSe structure.

The space group is Pm-3m (No. 221) and the conventional cell measures 5.212, 5.212 and 5.212 Å, with angles of 90.00, 90.00 and 90.00 degrees. The inequivalent atoms are Cd at (0.000, 0.000, 0.500), As at (0.000, 0.000, 0.000) and Se at (0.500, 0.500, 0.500).

The calculation puts the total moment at 0.00 μB per formula unit. For the density of states at the Fermi level, the calculation gives 2.4 states/eV/f.u. Its crystal system is cubic. As for the mass density: 5.8 g cm⁻³.


<B>
## Cd3AsSe (PBE)

Data for a geometry-optimized Cd3AsSe structure.

The space group is C2/c (No. 15) and the conventional cell measures 15.364, 11.445 and 7.775 Å, with angles of 90.00, 111.92 and 90.00 degrees. The inequivalent atoms are Cd at (0.044, 0.192, 0.127), Cd at (0.086, 0.408, 0.635), Cd at (0.139, 0.044, 0.852), As at (0.000, 0.203, 0.750), As at (0.000, 0.422, 0.250) and Se at (0.225, 0.106, 0.211).

The calculation puts the total moment at 0.00 μB per formula unit. For the density of states at the Fermi level, the calculation gives 0.6 states/eV/f.u. Its crystal system is monoclinic. As for the mass density: 5.1 g cm⁻³.


Which structure is the least stable? The one labeled <A>.